Here is Ta4ReMo2 after structural relaxation from Alexandria via LeMat-Bulk. Energies are from GGA-PBE.

Lattice parameters (Å, degrees): 5.5061 5.5061 5.5061 108.87 109.77 109.77
Closest atoms and distances in Å follow each position.
Fractional coordinates of all 7 atoms:
1 Ta 0.5000 0.0000 0.0000  2 Re 2.75, 4 Mo 2.75
2 Ta 0.5000 0.5000 0.5000  2 Re 2.75, 4 Mo 2.75
3 Ta 0.0000 0.0000 0.5000  4 Mo 2.75, 2 Re 2.75
4 Ta 0.0000 0.5000 0.0000  4 Mo 2.75, 2 Re 2.75
5 Re 0.0000 0.0000 0.0000  8 Ta 2.75
6 Mo 0.5000 0.5000 0.0000  8 Ta 2.75
7 Mo 0.5000 0.0000 0.5000  8 Ta 2.75

Here is Sr2TlTc after structural relaxation from Alexandria via LeMat-Bulk. Energies are from GGA-PBE.

Properties
As for the energy above the most stable polymorph in this dataset: 188 meV/atom.

Lattice parameters (Å, degrees): 5.5400 5.5400 5.5400 60.00 60.00 60.00
Closest atoms and distances in Å follow each position.
Fractional coordinates of all 4 atoms:
1 Sr 0.2500 0.2500 0.2500  4 Tl 3.39, 4 Tc 3.39
2 Sr 0.7500 0.7500 0.7500  4 Tl 3.39, 4 Tc 3.39
3 Tl 0.5000 0.5000 0.5000  8 Sr 3.39
4 Tc 0.0000 0.0000 0.0000  8 Sr 3.39

| no. | DFT formation energy (meV/atom) |
| --- | --- |
| 1 | 95 |
| 2 | 538 |